Compound: LiSeBr2
Source: the Alexandria database
Functional: PBE
Structure: optimized geometry

Results
Its total energy is -0.1014 hartree per atom. As for the uncorrected formation energy: -55.3 kJ per mole of atoms. The calculation puts the density of states at the Fermi level at 0.6720 states/eV per atom.

Lattice parameters (Å, degrees): 8.4149 8.4149 8.4149 26.40 26.40 26.40
With the nearest neighbours (Å) after each atom.
Sites, in units of the cell vectors:
Br 0.1053 0.1053 0.1053  1 Se 2.56, 3 Li 2.68
Br 0.8947 0.8947 0.8947  1 Se 2.56, 3 Li 2.68
Li 0.5000 0.5000 0.5000  6 Br 2.68
Se 0.0000 0.0000 0.0000  2 Br 2.56